Below is Li5Mg2Zn2Cu after structural relaxation, with properties calculated at the GGA-PBE level.

The space group is P4/mbm (No. 127) and the conventional cell measures 10.028, 10.028 and 3.427 Å, with angles of 90.00, 90.00 and 90.00 degrees. Symmetry generates all atoms from Li at (0.000, 0.500, 0.000), Li at (0.064, 0.186, 0.000), Mg at (0.170, 0.670, 0.500), Zn at (0.131, 0.369, 0.500) and Cu at (0.000, 0.000, 0.500).

Its crystal system is tetragonal.



Below is LiMnCu2 after structural relaxation, with properties calculated at the GGA-PBE level.

The space group is Pmm2 (No. 25) and the conventional cell measures 2.644, 4.341 and 4.472 Å, with angles of 90.00, 90.00 and 90.00 degrees. Symmetry generates all atoms from Li at (0.000, 0.000, 0.000), Mn at (0.000, 0.500, 0.620), Cu at (0.500, 0.000, 0.494) and Cu at (0.500, 0.500, 0.128).

Its crystal system is orthorhombic.



Below is LiMn3Cu after structural relaxation, with properties calculated at the GGA-PBE level.

The space group is Pm-3m (No. 221) and the conventional cell measures 4.647, 4.647 and 4.647 Å, with angles of 90.00, 90.00 and 90.00 degrees. Symmetry generates all atoms from Li at (0.000, 0.000, 0.000), Mn at (0.000, 0.500, 0.500) and Cu at (0.500, 0.500, 0.500).

Its crystal system is cubic.



Below is LiMnCu2 after structural relaxation, with properties calculated at the GGA-PBE level.

The space group is F-43m (No. 216) and the conventional cell measures 5.871, 5.871 and 5.871 Å, with angles of 90.00, 90.00 and 90.00 degrees. Symmetry generates all atoms from Li at (0.000, 0.000, 0.000), Mn at (0.250, 0.250, 0.750), Cu at (0.000, 0.000, 0.500) and Cu at (0.250, 0.250, 0.250).

Its crystal system is cubic.



Below is Li2MnCu after structural relaxation, with properties calculated at the GGA-PBE level.

The space group is R-3m (No. 166, hexagonal axes) and the conventional cell measures 2.6474, 2.6474 and 26.6391 Å, with angles of 90.00, 90.00 and 120.00 degrees. Symmetry generates all atoms from Li at (0.0000, 0.0000, 0.2468), Mn at (0.0000, 0.0000, 0.0000) and Cu at (0.0000, 0.0000, 0.5000).

Its crystal system is trigonal.



Below is LiMnCu2 after structural relaxation, with properties calculated at the GGA-PBE level.

The space group is C2/m (No. 12) and the conventional cell measures 8.621, 2.627 and 4.595 Å, with angles of 90.00, 99.47 and 90.00 degrees. Symmetry generates all atoms from Li at (0.000, 0.000, 0.000), Mn at (0.000, 0.500, 0.500) and Cu at (0.247, 0.000, 0.750).

Its crystal system is monoclinic.



Respective electronic total energy values: -1.969 -4.745 -5.839 -4.681 -4.066 -4.649 eV/atom.
Respective E_form values: -0.029 0.074 0.865 0.138 0.207 0.170 eV/atom.